1.
BaPr2Ti3O10 | GGA-PBEsol | relaxed

Structure (POSCAR):
```
BaPr2Ti3O10
1.0
1.9482 -14.0458 0.0000
1.9482 14.0458 0.0000
0.0000 0.0000 7.6257
Ba Pr Ti O
2 4 6 20
Direct
0.2429 0.7571 0.7500 Ba
0.7571 0.2429 0.2500 Ba
0.0726 0.9274 0.7500 Pr
0.0802 0.9198 0.2500 Pr
0.9198 0.0802 0.7500 Pr
0.9274 0.0726 0.2500 Pr
0.3537 0.6463 0.0055 Ti
0.3537 0.6463 0.4945 Ti
0.5000 0.5000 0.0000 Ti
0.5000 0.5000 0.5000 Ti
0.6463 0.3537 0.5055 Ti
0.6463 0.3537 0.9945 Ti
0.0000 0.0000 0.0000 O
0.0000 0.0000 0.5000 O
0.1314 0.8686 0.5076 O
0.1314 0.8686 0.9924 O
0.2921 0.7079 0.0475 O
0.2921 0.7079 0.4525 O
0.3535 0.6465 0.7500 O
0.3770 0.6230 0.2500 O
0.4329 0.5671 0.5495 O
0.4329 0.5671 0.9505 O
0.4843 0.5157 0.2500 O
0.5157 0.4843 0.7500 O
0.5671 0.4329 0.0495 O
0.5671 0.4329 0.4505 O
0.6230 0.3770 0.7500 O
0.6465 0.3535 0.2500 O
0.7079 0.2921 0.5475 O
0.7079 0.2921 0.9525 O
0.8686 0.1314 0.0076 O
0.8686 0.1314 0.4924 O
```

Computed properties:
Mass density ... 5.8 g cm⁻³
E_tot ... -8.8795 eV per atom
Formation energy without anion corrections ... -3.256 eV per atom

2.
Ba5Pt2O9 | GGA-PBEsol | relaxed

Structure (POSCAR):
```
Ba5Pt2O9
1.0
10.1485 0.0000 0.0000
-5.0743 8.7889 0.0000
0.0000 0.0000 8.8950
Ba Pt O
15 6 27
Direct
0.0000 0.0000 0.0000 Ba
0.0000 0.6346 0.0000 Ba
0.0000 0.6695 0.5000 Ba
0.0308 0.3344 0.7371 Ba
0.3037 0.9692 0.7371 Ba
0.3305 0.3305 0.5000 Ba
0.3333 0.6667 0.2475 Ba
0.3344 0.0308 0.2629 Ba
0.3654 0.3654 0.0000 Ba
0.6346 0.0000 0.0000 Ba
0.6656 0.6963 0.7371 Ba
0.6667 0.3333 0.7525 Ba
0.6695 0.0000 0.5000 Ba
0.6963 0.6656 0.2629 Ba
0.9692 0.3037 0.2629 Ba
0.0000 0.0000 0.3455 Pt
0.0000 0.0000 0.6545 Pt
0.3333 0.6667 0.5922 Pt
0.3333 0.6667 0.9012 Pt
0.6667 0.3333 0.0988 Pt
0.6667 0.3333 0.4078 Pt
0.0000 0.1487 0.5000 O
0.0068 0.8317 0.2216 O
0.1487 0.0000 0.5000 O
0.1683 0.1751 0.2216 O
0.1724 0.6508 0.7468 O
0.1738 0.4890 0.0258 O
0.1751 0.1683 0.7784 O
0.1748 0.4933 0.4676 O
0.3152 0.8262 0.0258 O
0.3185 0.8252 0.4676 O
0.3492 0.5216 0.7468 O
0.4784 0.8276 0.7468 O
0.4890 0.1738 0.9742 O
0.4933 0.1748 0.5324 O
0.5067 0.6815 0.4676 O
0.5110 0.6848 0.0258 O
0.5216 0.3492 0.2532 O
0.6508 0.1724 0.2532 O
0.6815 0.5067 0.5324 O
0.6848 0.5110 0.9742 O
0.8252 0.3185 0.5324 O
0.8249 0.9932 0.2216 O
0.8262 0.3152 0.9742 O
0.8276 0.4784 0.2532 O
0.8317 0.0068 0.7784 O
0.8513 0.8513 0.5000 O
0.9932 0.8249 0.7784 O
```

Computed properties:
Mass density ... 7.7 g cm⁻³
E_tot ... -6.4626 eV per atom
Formation energy without anion corrections ... -1.968 eV per atom

3.
BaPtS2O | GGA-PBEsol | relaxed

Structure (POSCAR):
```
BaPtS2O
1.0
4.9697 0.0000 0.0000
0.0000 4.9697 0.0000
0.0000 0.0000 3.9031
Ba Pt S O
1 1 2 1
Direct
0.0000 0.0000 0.0000 Ba
0.5000 0.5000 0.5000 Pt
0.0000 0.5000 0.5000 S
0.5000 0.0000 0.5000 S
0.5000 0.5000 0.0000 O
```

Computed properties:
Mass density ... 7.1 g cm⁻³
E_tot ... -5.5105 eV per atom
Formation energy without anion corrections ... -0.884 eV per atom